Record 1
Mg2Ga5Rh3: optimized geometry, PBE-GGA.

E, eV/atom: -4.4400
Offset from the most stable computed form, kJ/mol of formula units: 92
Formation energy, eV per atom: -0.402
Crystal system: orthorhombic

Structure (CIF):
```
data_Mg2Ga5Rh3
_chemical_formula_sum 'Mg8 Ga20 Rh12'
_space_group_name_H-M_alt 'I b a m'
_space_group_IT_number 72
_space_group_name_Hall '-I 2 2c'
_cell_length_a 10.7469
_cell_length_b 11.7083
_cell_length_c 5.5327
_cell_angle_alpha 90.00
_cell_angle_beta 90.00
_cell_angle_gamma 90.00
loop_
_atom_site_label
_atom_site_fract_x
_atom_site_fract_y
_atom_site_fract_z
Mg1 0.1435 0.2312 0.0000
Ga1 0.0000 0.0000 0.2500
Ga2 0.0963 0.3476 0.5000
Ga3 0.2436 0.5000 0.2500
Rh1 0.0000 0.5000 0.2500
Rh2 0.1181 0.1410 0.5000
```

Record 2
MgGa2Rh2: optimized geometry, PBE-GGA.

E, eV/atom: -4.9242
Offset from the most stable computed form, kJ/mol of formula units: 91
Formation energy, eV per atom: -0.454
Crystal system: tetragonal

Structure (CIF):
```
data_MgGa2Rh2
_chemical_formula_sum 'Mg2 Ga4 Rh4'
_space_group_name_H-M_alt 'I 4/m m m'
_space_group_IT_number 139
_space_group_name_Hall '-I 4 2'
_cell_length_a 4.2191
_cell_length_b 4.2191
_cell_length_c 9.7995
_cell_angle_alpha 90.00
_cell_angle_beta 90.00
_cell_angle_gamma 90.00
loop_
_atom_site_label
_atom_site_fract_x
_atom_site_fract_y
_atom_site_fract_z
Mg1 0.0000 0.0000 0.0000
Ga1 0.0000 0.0000 0.3753
Rh1 0.0000 0.5000 0.2500
```

Record 3
Mg2Ga3Rh: optimized geometry, PBE-GGA.

E, eV/atom: -3.6182
Formation energy, eV per atom: -0.348
Crystal system: monoclinic

Structure (CIF):
```
data_Mg2Ga3Rh
_chemical_formula_sum 'Mg8 Ga12 Rh4'
_space_group_name_H-M_alt 'C 1 2/c 1'
_space_group_IT_number 15
_space_group_name_Hall '-C 2yc'
_cell_length_a 7.1096
_cell_length_b 6.5654
_cell_length_c 9.4666
_cell_angle_alpha 90.00
_cell_angle_beta 111.08
_cell_angle_gamma 90.00
loop_
_atom_site_label
_atom_site_fract_x
_atom_site_fract_y
_atom_site_fract_z
Mg1 0.1226 0.1709 0.0703
Ga1 0.0000 0.4709 0.2500
Ga2 0.2486 0.3532 0.6202
Rh1 0.0000 0.1494 0.7500
```

Record 4
Mg2GaRh3: optimized geometry, PBE-GGA.

E, eV/atom: -5.3195
Offset from the most stable computed form, kJ/mol of formula units: 10
Formation energy, eV per atom: -0.608
Crystal system: tetragonal

Structure (CIF):
```
data_Mg2GaRh3
_chemical_formula_sum 'Mg2 Ga1 Rh3'
_space_group_name_H-M_alt 'P 4/m m m'
_space_group_IT_number 123
_space_group_name_Hall '-P 4 2'
_cell_length_a 3.0847
_cell_length_b 3.0847
_cell_length_c 9.2659
_cell_angle_alpha 90.00
_cell_angle_beta 90.00
_cell_angle_gamma 90.00
loop_
_atom_site_label
_atom_site_fract_x
_atom_site_fract_y
_atom_site_fract_z
Mg1 0.0000 0.0000 0.1672
Ga1 0.0000 0.0000 0.5000
Rh1 0.5000 0.5000 0.0000
Rh2 0.5000 0.5000 0.3446
```